(1)
5
Lattice="5.802 0.000 0.000 0.000 5.802 0.000 0.000 0.000 5.145" Properties=species:S:1:pos:R:3 comment="GGA-PBE Hg2PtPbSe, optimized geometry" crystal_system=tetragonal raw_formation_energy_ev_per_fu=3.79 spacegroup="P4/mmm (123)" magnetic_moment_mub_per_cell=1.8 density_g_cm3=8.46 pbc="T T T"
Hg 0.000 2.901 0.000
Hg 2.901 0.000 0.000
Pt 0.000 0.000 2.573
Pb 0.000 0.000 0.000
Se 2.901 2.901 2.573

=====

(2)
5
Lattice="5.337 0.000 0.000 0.000 5.337 0.000 0.000 0.000 5.974" Properties=species:S:1:pos:R:3 comment="GGA-PBE SnHg2PtPb, optimized geometry" crystal_system=tetragonal spacegroup="P4/mmm (123)" magnetic_moment_mub_per_cell=0.0 delta_e_f_ev_per_atom=0.990 density_g_cm3=9.00 pbc="T T T"
Sn 0.000 0.000 0.000
Hg 0.000 2.669 2.987
Hg 2.669 0.000 2.987
Pt 2.669 2.669 0.000
Pb 0.000 0.000 2.987

=====

(3)
10
Lattice="8.161 0.000 0.000 0.000 4.723 0.000 -3.393 0.000 7.846" Properties=species:S:1:pos:R:3 comment="GGA-PBE Sr2HgPtPb, optimized geometry" crystal_system=monoclinic spacegroup="P2_1/m (11)" magnetic_moment_mub_per_cell=0.0 delta_e_f_ev_per_atom=-0.620 density_g_cm3=8.55 e_above_lowest_polymorph_kj_per_mol_fu=0 pbc="T T T"
Sr -0.420 1.181 1.719
Sr 0.711 3.542 4.811
Sr 4.057 1.181 3.035
Sr 5.189 3.542 6.126
Hg 2.013 3.542 1.559
Hg 2.756 1.181 6.287
Pt -1.410 1.181 4.677
Pt 6.178 3.542 3.169
Pb -0.447 1.181 7.361
Pb 5.215 3.542 0.484

=====

(4)
5
Lattice="5.977 0.000 0.000 0.000 5.977 0.000 0.000 0.000 5.187" Properties=species:S:1:pos:R:3 comment="GGA-PBE Sr2HgPtPb, optimized geometry" crystal_system=tetragonal spacegroup="P4/mmm (123)" magnetic_moment_mub_per_cell=0.0 delta_e_f_ev_per_atom=-0.477 density_g_cm3=6.97 e_above_lowest_polymorph_kj_per_mol_fu=69 pbc="T T T"
Sr 0.000 2.989 0.000
Sr 2.989 0.000 0.000
Hg 0.000 0.000 2.593
Pt 2.989 2.989 0.000
Pb 2.989 2.989 2.593

=====

(5)
16
Lattice="7.174 0.000 0.000 0.000 7.174 0.000 0.000 0.000 7.174" Properties=species:S:1:pos:R:3 comment="GGA-PBE TbHgPtPb, optimized geometry" crystal_system=cubic spacegroup="F-43m (216)" magnetic_moment_mub_per_cell=0.0 delta_e_f_ev_per_atom=-0.509 density_g_cm3=13.71 pbc="T T T"
Tb 0.000 0.000 0.000
Tb 0.000 3.587 3.587
Tb 3.587 0.000 3.587
Tb 3.587 3.587 0.000
Hg 1.793 1.793 1.793
Hg 1.793 5.380 5.380
Hg 5.380 1.793 5.380
Hg 5.380 5.380 1.793
Pt 1.793 1.793 5.380
Pt 1.793 5.380 1.793
Pt 5.380 1.793 1.793
Pt 5.380 5.380 5.380
Pb 0.000 0.000 3.587
Pb 0.000 3.587 0.000
Pb 3.587 0.000 0.000
Pb 3.587 3.587 3.587

=====

(6)
5
Lattice="5.456 0.000 0.000 0.000 5.456 0.000 0.000 0.000 5.233" Properties=species:S:1:pos:R:3 comment="GGA-PBE HgTePtPb2, optimized geometry" crystal_system=tetragonal raw_formation_energy_ev_per_fu=-0.42 spacegroup="P4/mmm (123)" magnetic_moment_mub_per_cell=0.0 density_g_cm3=10.00 pbc="T T T"
Hg 0.000 0.000 0.000
Te 2.728 2.728 0.000
Pt 0.000 0.000 2.616
Pb 0.000 2.728 2.616
Pb 2.728 0.000 2.616

=====

(7)
16
Lattice="7.297 0.000 0.000 0.000 7.297 0.000 0.000 0.000 7.297" Properties=species:S:1:pos:R:3 comment="GGA-PBE ThHgPtPb, optimized geometry" crystal_system=cubic spacegroup="F-43m (216)" magnetic_moment_mub_per_cell=0.0 delta_e_f_ev_per_atom=-0.483 density_g_cm3=14.28 pbc="T T T"
Th 0.000 0.000 0.000
Th 0.000 3.648 3.648
Th 3.648 0.000 3.648
Th 3.648 3.648 0.000
Hg 1.824 1.824 1.824
Hg 1.824 5.472 5.472
Hg 5.472 1.824 5.472
Hg 5.472 5.472 1.824
Pt 1.824 1.824 5.472
Pt 1.824 5.472 1.824
Pt 5.472 1.824 1.824
Pt 5.472 5.472 5.472
Pb 0.000 0.000 3.648
Pb 0.000 3.648 0.000
Pb 3.648 0.000 0.000
Pb 3.648 3.648 3.648

=====

(8)
16
Lattice="7.116 0.000 0.000 0.000 7.116 0.000 0.000 0.000 7.116" Properties=species:S:1:pos:R:3 comment="GGA-PBE TmHgPtPb, optimized geometry" crystal_system=cubic spacegroup="F-43m (216)" magnetic_moment_mub_per_cell=0.0 delta_e_f_ev_per_atom=-0.475 density_g_cm3=14.23 pbc="T T T"
Tm 0.000 0.000 0.000
Tm 0.000 3.558 3.558
Tm 3.558 0.000 3.558
Tm 3.558 3.558 0.000
Hg 1.779 1.779 1.779
Hg 1.779 5.337 5.337
Hg 5.337 1.779 5.337
Hg 5.337 5.337 1.779
Pt 1.779 1.779 5.337
Pt 1.779 5.337 1.779
Pt 5.337 1.779 1.779
Pt 5.337 5.337 5.337
Pb 0.000 0.000 3.558
Pb 0.000 3.558 0.000
Pb 3.558 0.000 0.000
Pb 3.558 3.558 3.558

=====

(9)
16
Lattice="7.171 0.000 0.000 0.000 7.171 0.000 0.000 0.000 7.171" Properties=species:S:1:pos:R:3 comment="GGA-PBE YHgPtPb, optimized geometry" crystal_system=cubic spacegroup="F-43m (216)" magnetic_moment_mub_per_cell=0.0 delta_e_f_ev_per_atom=-0.503 density_g_cm3=12.46 pbc="T T T"
Y 0.000 0.000 0.000
Y 0.000 3.586 3.586
Y 3.586 0.000 3.586
Y 3.586 3.586 0.000
Hg 1.793 1.793 1.793
Hg 1.793 5.378 5.378
Hg 5.378 1.793 5.378
Hg 5.378 5.378 1.793
Pt 1.793 1.793 5.378
Pt 1.793 5.378 1.793
Pt 5.378 1.793 1.793
Pt 5.378 5.378 5.378
Pb 0.000 0.000 3.586
Pb 0.000 3.586 0.000
Pb 3.586 0.000 0.000
Pb 3.586 3.586 3.586

=====

(10)
6
Lattice="3.490 0.000 0.000 0.000 3.490 0.000 0.000 0.000 13.462" Properties=species:S:1:pos:R:3 comment="GGA-PBE PuHgPb, optimized geometry" crystal_system=tetragonal spacegroup="I4mm (107)" magnetic_moment_mub_per_cell=12.0 delta_e_f_ev_per_atom=-0.074 density_g_cm3=13.20 e_above_lowest_polymorph_kj_per_mol_fu=7 pbc="T T T"
Pu 0.000 0.000 0.000
Pu 1.745 1.745 6.731
Hg 0.000 0.000 4.617
Hg 1.745 1.745 11.348
Pb 0.000 0.000 9.122
Pb 1.745 1.745 2.391

=====

(11)
11
Lattice="-2.048 2.048 21.444 2.048 -2.048 21.444 2.048 2.048 -21.444" Properties=species:S:1:pos:R:3 comment="GGA-PBE Pu3Hg6Pb2, optimized geometry" crystal_system=tetragonal spacegroup="I4/mmm (139)" magnetic_moment_mub_per_cell=7.2 delta_e_f_ev_per_atom=0.248 density_g_cm3=10.84 pbc="T T T"
Pu 0.000 0.000 0.000
Pu 0.000 0.000 14.855
Pu 0.000 0.000 28.033
Hg 2.048 0.000 4.074
Hg 2.048 0.000 17.370
Hg 0.000 0.000 19.832
Hg 0.000 0.000 23.056
Hg 0.000 2.048 4.074
Hg 0.000 2.048 17.370
Pb 0.000 0.000 11.555
Pb 0.000 0.000 31.333

=====

(12)
16
Lattice="7.628 0.000 0.000 0.000 7.628 0.000 0.000 0.000 7.628" Properties=species:S:1:pos:R:3 comment="GGA-PBE Pu2HgPb, optimized geometry" crystal_system=cubic spacegroup="Fm-3m (225)" magnetic_moment_mub_per_cell=48.0 delta_e_f_ev_per_atom=-0.122 density_g_cm3=13.41 pbc="T T T"
Pu 1.907 1.907 1.907
Pu 1.907 1.907 5.721
Pu 1.907 5.721 1.907
Pu 1.907 5.721 5.721
Pu 5.721 1.907 1.907
Pu 5.721 1.907 5.721
Pu 5.721 5.721 1.907
Pu 5.721 5.721 5.721
Hg 0.000 0.000 0.000
Hg 0.000 3.814 3.814
Hg 3.814 0.000 3.814
Hg 3.814 3.814 0.000
Pb 0.000 0.000 3.814
Pb 0.000 3.814 0.000
Pb 3.814 0.000 0.000
Pb 3.814 3.814 3.814

=====

(13)
14
Lattice="8.157 0.000 0.000 0.000 8.157 0.000 0.000 0.000 8.157" Properties=species:S:1:pos:R:3 comment="GGA-PBE PuHg3Pb3, optimized geometry" crystal_system=cubic spacegroup="Pm-3n (223)" magnetic_moment_mub_per_cell=12.6 delta_e_f_ev_per_atom=0.467 density_g_cm3=8.98 pbc="T T T"
Pu 0.000 0.000 0.000
Pu 4.078 4.078 4.078
Hg 0.000 2.039 4.078
Hg 0.000 6.117 4.078
Hg 2.039 4.078 0.000
Hg 4.078 0.000 2.039
Hg 4.078 0.000 6.117
Hg 6.117 4.078 0.000
Pb 0.000 4.078 2.039
Pb 0.000 4.078 6.117
Pb 2.039 0.000 4.078
Pb 4.078 2.039 0.000
Pb 4.078 6.117 0.000
Pb 6.117 0.000 4.078

=====

(14)
9
Lattice="-2.581 3.154 7.584 2.581 -3.154 7.584 2.581 3.154 -7.584" Properties=species:S:1:pos:R:3 comment="GGA-PBE Pu2Hg6Pb, optimized geometry" crystal_system=orthorhombic spacegroup="Immm (71)" magnetic_moment_mub_per_cell=12.0 delta_e_f_ev_per_atom=-0.035 density_g_cm3=12.77 pbc="T T T"
Pu 0.000 0.000 1.643
Pu 0.000 0.000 13.526
Hg 2.581 1.610 -3.018
Hg 2.581 1.471 0.000
Hg 2.581 1.610 3.018
Hg 0.000 1.544 4.566
Hg 0.000 1.683 7.584
Hg 0.000 1.544 10.603
Pb 0.000 3.154 0.000

=====

(15)
12
Lattice="5.318 0.000 0.000 0.000 9.217 0.000 0.000 0.000 6.695" Properties=species:S:1:pos:R:3 comment="GGA-PBE PuHgPb, optimized geometry" crystal_system=orthorhombic spacegroup="Cmcm (63)" magnetic_moment_mub_per_cell=22.3 delta_e_f_ev_per_atom=-0.099 density_g_cm3=13.19 e_above_lowest_polymorph_kj_per_mol_fu=0 pbc="T T T"
Pu 0.000 1.541 1.674
Pu 0.000 7.675 5.021
Pu 2.659 3.067 5.021
Pu 2.659 6.150 1.674
Hg 0.000 1.531 5.021
Hg 0.000 7.686 1.674
Hg 2.659 3.077 1.674
Hg 2.659 6.139 5.021
Pb 0.000 4.608 0.000
Pb 0.000 4.608 3.348
Pb 2.659 0.000 0.000
Pb 2.659 0.000 3.348

=====

(16)
12
Lattice="7.166 0.000 0.000 0.000 7.166 0.000 0.000 0.000 7.166" Properties=species:S:1:pos:R:3 comment="GGA-PBE PuHgPb, optimized geometry" crystal_system=cubic spacegroup="F-43m (216)" magnetic_moment_mub_per_cell=23.2 delta_e_f_ev_per_atom=0.020 density_g_cm3=11.77 e_above_lowest_polymorph_kj_per_mol_fu=34 pbc="T T T"
Pu 0.000 0.000 0.000
Pu 0.000 3.583 3.583
Pu 3.583 0.000 3.583
Pu 3.583 3.583 0.000
Hg 1.791 1.791 1.791
Hg 1.791 5.374 5.374
Hg 5.374 1.791 5.374
Hg 5.374 5.374 1.791
Pb 0.000 0.000 3.583
Pb 0.000 3.583 0.000
Pb 3.583 0.000 0.000
Pb 3.583 3.583 3.583

=====

(17)
6
Lattice="0.000 4.305 4.305 4.305 0.000 4.305 4.305 4.305 0.000" Properties=species:S:1:pos:R:3 comment="GGA-PBE PuHg4Pb, optimized geometry" crystal_system=cubic spacegroup="F-43m (216)" magnetic_moment_mub_per_cell=6.1 delta_e_f_ev_per_atom=0.028 density_g_cm3=13.05 e_above_lowest_polymorph_kj_per_mol_fu=66 pbc="T T T"
Pu 0.000 0.000 0.000
Hg 3.228 3.228 3.228
Hg 5.382 5.382 3.228
Hg 5.382 3.228 5.382
Hg 3.228 5.382 5.382
Pb 6.457 6.457 6.457

=====

(18)
4
Lattice="5.749 0.000 0.000 0.000 5.749 0.000 0.000 0.000 3.304" Properties=species:S:1:pos:R:3 comment="GGA-PBE PuHg2Pb, optimized geometry" crystal_system=tetragonal spacegroup="P4/mmm (123)" magnetic_moment_mub_per_cell=6.1 delta_e_f_ev_per_atom=-0.026 density_g_cm3=12.96 pbc="T T T"
Pu 0.000 0.000 0.000
Hg 0.000 2.874 1.652
Hg 2.874 0.000 1.652
Pb 2.874 2.874 0.000

=====

(19)
16
Lattice="6.564 0.000 0.000 0.000 9.768 0.000 0.000 0.000 6.563" Properties=species:S:1:pos:R:3 comment="GGA-PBE PuHg2Pb, optimized geometry" crystal_system=orthorhombic spacegroup="Imma (74)" magnetic_moment_mub_per_cell=23.5 delta_e_f_ev_per_atom=-0.117 density_g_cm3=13.45 pbc="T T T"
Pu 0.000 2.442 0.004
Pu 0.000 7.326 6.559
Pu 3.282 2.442 3.277
Pu 3.282 7.326 3.286
Hg 1.641 0.001 1.641
Hg 1.641 9.767 4.923
Hg 1.641 4.883 1.641
Hg 1.641 4.885 4.923
Hg 4.923 0.001 1.641
Hg 4.923 9.767 4.923
Hg 4.923 4.883 1.641
Hg 4.923 4.885 4.923
Pb 0.000 2.442 3.287
Pb 0.000 7.326 3.277
Pb 3.282 2.442 6.559
Pb 3.282 7.326 0.005

=====

(20)
12
Lattice="6.657 -3.169 0.000 6.657 3.169 0.000 -4.821 0.000 8.611" Properties=species:S:1:pos:R:3 comment="GGA-PBE PuHg4Pb7, optimized geometry" crystal_system=monoclinic spacegroup="C2/m (12)" magnetic_moment_mub_per_cell=5.9 delta_e_f_ev_per_atom=0.106 density_g_cm3=11.41 pbc="T T T"
Pu 0.000 0.000 0.000
Hg 0.349 0.000 5.654
Hg 5.035 0.000 2.849
Hg 3.457 0.000 5.762
Hg 8.143 0.000 2.956
Pb -1.501 0.000 3.016
Pb -1.398 0.000 8.317
Pb 1.897 0.000 2.810
Pb 6.657 0.000 0.000
Pb 6.595 0.000 5.801
Pb 9.890 0.000 0.293
Pb 9.993 0.000 5.595

=====

(21)
4
Lattice="4.713 0.000 0.000 0.000 4.713 0.000 0.000 0.000 4.747" Properties=species:S:1:pos:R:3 comment="GGA-PBE Pu2HgPb, optimized geometry" crystal_system=tetragonal spacegroup="P4/mmm (123)" magnetic_moment_mub_per_cell=11.9 delta_e_f_ev_per_atom=-0.138 density_g_cm3=14.11 pbc="T T T"
Pu 0.000 2.357 0.000
Pu 2.357 0.000 0.000
Hg 0.000 0.000 2.373
Pb 2.357 2.357 2.373

=====

(22)
16
Lattice="19.117 0.000 0.000 0.000 4.817 0.000 -1.208 0.000 4.663" Properties=species:S:1:pos:R:3 comment="GGA-PBE PuHg5Pb2, optimized geometry" crystal_system=monoclinic spacegroup="C2/m (12)" magnetic_moment_mub_per_cell=11.7 delta_e_f_ev_per_atom=-0.082 density_g_cm3=12.85 pbc="T T T"
Pu 0.000 0.000 0.000
Pu 9.558 2.408 0.000
Hg -0.604 2.408 2.332
Hg 1.527 0.000 2.886
Hg 2.132 2.408 0.551
Hg 6.218 0.000 4.112
Hg 6.823 2.408 1.777
Hg 8.954 0.000 2.332
Hg 11.690 0.000 0.551
Hg 11.086 2.408 2.886
Hg 16.381 0.000 1.777
Hg 15.777 2.408 4.112
Pb 4.289 0.000 1.117
Pb 4.061 2.408 3.546
Pb 13.848 2.408 1.117
Pb 13.620 0.000 3.546

=====

(23)
12
Lattice="10.049 0.000 0.000 0.000 3.615 0.000 0.000 0.000 8.392" Properties=species:S:1:pos:R:3 comment="GGA-PBE PuHgPb, optimized geometry" crystal_system=orthorhombic spacegroup="Pnma (62)" magnetic_moment_mub_per_cell=3.8 delta_e_f_ev_per_atom=0.151 density_g_cm3=14.20 e_above_lowest_polymorph_kj_per_mol_fu=72 pbc="T T T"
Pu 0.726 0.904 0.038
Pu 4.299 2.711 4.234
Pu 5.750 0.904 4.158
Pu 9.323 2.711 8.354
Hg 1.370 2.711 2.658
Hg 3.655 0.904 6.854
Hg 6.394 2.711 1.538
Hg 8.680 0.904 5.734
Pb 1.295 2.711 5.684
Pb 3.730 0.904 1.488
Pb 6.319 2.711 6.904
Pb 8.754 0.904 2.708

=====

(24)
3
Lattice="5.315 0.000 0.000 -2.657 4.603 0.000 0.000 0.000 3.290" Properties=species:S:1:pos:R:3 comment="GGA-PBE PuHgPb, optimized geometry" crystal_system=trigonal spacegroup="P3m1 (156)" magnetic_moment_mub_per_cell=6.1 delta_e_f_ev_per_atom=-0.076 density_g_cm3=13.45 e_above_lowest_polymorph_kj_per_mol_fu=7 pbc="T T T"
Pu 0.000 0.000 0.000
Hg 2.657 1.534 1.637
Pb 0.000 3.069 1.649

=====

(25)
4
Lattice="4.145 0.000 0.000 0.000 4.145 0.000 0.000 0.000 6.292" Properties=species:S:1:pos:R:3 comment="GGA-PBE Pu2HgPb, optimized geometry" crystal_system=tetragonal spacegroup="P4/mmm (123)" magnetic_moment_mub_per_cell=11.8 delta_e_f_ev_per_atom=-0.087 density_g_cm3=13.76 pbc="T T T"
Pu 0.000 0.000 1.569
Pu 0.000 0.000 4.723
Hg 2.072 2.072 3.146
Pb 2.072 2.072 0.000

=====

(26)
16
Lattice="7.511 0.000 0.000 0.000 7.511 0.000 0.000 0.000 7.511" Properties=species:S:1:pos:R:3 comment="GGA-PBE PuHg2Pb, optimized geometry" crystal_system=cubic spacegroup="F-43m (216)" magnetic_moment_mub_per_cell=23.1 delta_e_f_ev_per_atom=-0.044 density_g_cm3=13.36 pbc="T T T"
Pu 0.000 0.000 0.000
Pu 0.000 3.755 3.755
Pu 3.755 0.000 3.755
Pu 3.755 3.755 0.000
Hg 0.000 0.000 3.755
Hg 0.000 3.755 0.000
Hg 1.878 1.878 5.633
Hg 1.878 5.633 1.878
Hg 3.755 0.000 0.000
Hg 3.755 3.755 3.755
Hg 5.633 1.878 1.878
Hg 5.633 5.633 5.633
Pb 1.878 1.878 1.878
Pb 1.878 5.633 5.633
Pb 5.633 1.878 5.633
Pb 5.633 5.633 1.878

=====

(27)
11
Lattice="8.734 -3.009 0.000 8.734 3.009 0.000 -1.583 0.000 5.772" Properties=species:S:1:pos:R:3 comment="GGA-PBE PuHg8Pb2, optimized geometry" crystal_system=monoclinic spacegroup="C2/m (12)" magnetic_moment_mub_per_cell=6.1 delta_e_f_ev_per_atom=0.013 density_g_cm3=12.39 pbc="T T T"
Pu 0.000 0.000 0.000
Hg 5.908 1.470 0.039
Hg 0.851 0.000 3.040
Hg 9.977 1.470 5.733
Hg 7.204 0.000 4.191
Hg 8.680 0.000 1.581
Hg 5.908 -1.470 0.039
Hg 15.034 0.000 2.733
Hg 9.977 -1.470 5.733
Pb 4.237 0.000 2.693
Pb 11.648 0.000 3.079